NaHf3Mn: relaxed, PBE. Values from VASP.

Cell and atoms, written as Quantum ESPRESSO input:
```
&SYSTEM
  ibrav = 0, nat = 5, ntyp = 3
/
ATOMIC_SPECIES
Mn 54.94 Mn.upf
Hf 178.49 Hf.upf
Na 22.99 Na.upf
CELL_PARAMETERS angstrom
4.898 0.000 0.000
0.000 4.898 0.000
0.000 0.000 4.898
ATOMIC_POSITIONS angstrom
Mn 0.000 0.000 0.000
Hf 0.000 0.000 2.449
Hf 0.000 2.449 0.000
Hf 2.449 0.000 0.000
Na 2.449 2.449 2.449
```

Properties
Space group   Pm-3m, No. 221
Calculated volume   117.5 Å³ per cell
E   -7.541 eV per atom
Energy above the lowest structure with this stoichiometry   0.0 meV/atom
Magnetization   0.77 μB/cell
Formation energy from the elements   0.53 eV per atom